1.
Entry from the Alexandria database: FeCo2HPd after structural relaxation (PBE).

Space-group type = P4/mmm (123)
V = 10.22 Å³ per atom
E = -6.23 eV/atom
Total moment = 6.12 μB per cell

```
5
Lattice="3.687 0.000 0.000 0.000 3.687 0.000 0.000 0.000 3.758" Properties=species:S:1:pos:R:3 pbc="T T T"
Fe 0.000 0.000 1.879
H 0.000 0.000 0.000
Co 0.000 1.844 0.000
Co 1.844 0.000 0.000
Pd 1.844 1.844 1.879
```

2.
Entry from the Alexandria database: Hf4FePb after structural relaxation (PBE).

Space-group type = C2/c (15)
V = 21.34 Å³ per atom
Formation energy = -0.093 eV per atom
Total moment = 0.00 μB per cell

```
12
Lattice="-1.402 -4.118 3.333 6.684 -2.093 -3.964 0.768 5.551 4.772" Properties=species:S:1:pos:R:3 pbc="T T T"
Hf 4.199 -4.747 0.733
Hf -0.201 -0.805 3.487
Hf 1.851 4.087 3.407
Hf 1.469 -2.743 1.722
Hf 4.581 2.083 2.418
Hf 4.205 -1.088 2.895
Hf 1.845 0.428 1.245
Hf 6.251 0.145 0.653
Pb 2.233 0.824 4.211
Pb 3.816 -1.484 -0.071
Fe -1.041 -3.081 2.514
Fe 7.090 2.421 1.626
```

3.
Entry from the Alexandria database: Pr4Tl2Ag after structural relaxation (PBE).

Space-group type = C2/m (12)
V = 32.53 Å³ per atom
Formation energy = -0.131 eV per atom
Total moment = 0.00 μB per cell

```
7
Lattice="-0.232 -2.770 2.509 7.651 0.193 0.922 -4.527 6.593 4.065" Properties=species:S:1:pos:R:3 pbc="T T T"
Pr 4.802 1.051 1.605
Pr -1.910 2.964 5.891
Pr 1.569 4.041 4.607
Pr 1.323 -0.026 2.889
Ag 0.000 0.000 0.000
Tl 3.735 1.444 4.735
Tl -0.843 2.572 2.761
```

4.
Entry from the Alexandria database: CdHgSe2 after structural relaxation (PBE).

Space-group type = C2 (5)
V = 30.22 Å³ per atom
Total moment = 0.00 μB per cell
Formation energy from raw total energies = -0.417 eV/atom

```
4
Lattice="-0.595 3.295 -2.869 -5.629 1.086 2.414 2.375 -0.467 5.745" Properties=species:S:1:pos:R:3 pbc="T T T"
Cd -2.195 0.754 1.961
Se -3.885 2.662 1.116
Se 0.083 1.895 2.807
Hg -3.826 1.048 6.036
```

5.
Entry from the Alexandria database: Ca2InFe after structural relaxation (PBE).

Space-group type = P2/m (10)
V = 25.43 Å³ per atom
Formation energy = 0.112 eV per atom
Total moment = 2.54 μB per cell

```
4
Lattice="3.442 0.000 0.000 0.000 3.502 0.038 0.000 3.424 8.478" Properties=species:S:1:pos:R:3 pbc="T T T"
In 1.721 5.194 6.387
Ca 0.000 3.500 0.235
Ca 0.000 3.465 4.060
Fe 1.721 1.731 2.129
```

6.
Entry from the Alexandria database: Tb5Ce2Er12 after structural relaxation (PBE).

Space-group type = C2/m (12)
V = 31.86 Å³ per atom
Formation energy = 0.168 eV per atom
Total moment = 2.44 μB per cell

```
19
Lattice="5.008 10.950 0.119 -5.008 10.950 0.119 0.000 5.319 5.576" Properties=species:S:1:pos:R:3 pbc="T T T"
Er -2.620 19.552 4.677
Er 0.000 14.158 4.628
Er 2.620 19.552 4.677
Er 2.620 7.667 1.136
Er 0.000 13.061 1.185
Er 0.000 20.784 2.588
Er 2.250 11.840 3.466
Er 0.000 6.435 3.225
Er -2.250 11.840 3.466
Er -2.620 7.667 1.136
Er 2.250 15.379 2.348
Er -2.250 15.379 2.348
Ce 2.714 10.950 0.119
Ce -2.714 10.950 0.119
Tb 0.000 17.499 3.635
Tb 0.000 21.766 5.632
Tb 0.000 2.660 2.788
Tb 0.000 5.453 0.182
Tb 0.000 9.720 2.178
```

7.
Entry from the Alexandria database: Ce2TcB10 after structural relaxation (PBE).

Space-group type = Pbam (55)
V = 10.58 Å³ per atom
Formation energy = -0.508 eV per atom
Total moment = 0.01 μB per cell

```
26
Lattice="-0.439 -3.494 -2.250 2.267 -3.059 4.308 -10.456 -1.531 4.416" Properties=species:S:1:pos:R:3 pbc="T T T"
Tc -4.095 -2.295 4.362
Tc 0.000 0.000 0.000
B -5.996 -2.829 3.229
B -6.276 -2.387 4.930
B -1.913 -2.203 3.793
B -7.763 -6.151 5.637
B -1.181 -3.138 5.103
B -2.778 -3.402 5.824
B -6.171 -4.223 2.332
B -7.588 -4.758 6.534
B -8.610 -3.352 6.883
B -6.973 -3.143 6.239
B -0.865 -1.933 0.837
B -7.008 -1.452 3.621
B -1.878 -0.502 1.146
B -2.632 -5.254 3.244
B -1.040 -3.326 -0.060
B -5.412 -1.188 2.900
B -2.457 -3.861 4.142
B -6.312 -4.088 7.578
B 0.421 -1.238 1.840
B -1.216 -1.447 2.484
Ce -5.052 -5.077 4.987
Ce -8.698 -3.915 3.895
Ce -3.576 -3.007 1.486
Ce 0.071 -4.169 2.579
```

8.
Entry from the Alexandria database: As2SeBr after structural relaxation (PBE).

Space-group type = P4mm (99)
V = 23.67 Å³ per atom
Total moment = 0.00 μB per cell
Formation energy from raw total energies = 0.227 eV/atom

```
4
Lattice="3.584 0.000 0.000 0.000 3.583 0.000 0.000 0.000 7.374" Properties=species:S:1:pos:R:3 pbc="T T T"
Se 1.792 1.791 6.196
Br 0.000 0.000 3.467
As 1.792 1.791 1.415
As 0.000 0.000 7.357
```

9.
Entry from the Alexandria database: BiTeI2 after structural relaxation (PBE).

Space-group type = I-42d (122)
V = 47.44 Å³ per atom
Total moment = 2.00 μB per cell
Formation energy from raw total energies = 0.051 eV/atom

```
8
Lattice="11.152 0.000 0.000 0.000 11.152 0.000 5.576 5.576 3.052" Properties=species:S:1:pos:R:3 pbc="T T T"
Te 5.576 5.576 0.000
Te 5.576 11.152 1.526
Bi 0.000 0.000 0.000
Bi 11.152 5.576 1.526
I 13.940 4.289 2.289
I 9.866 2.788 0.763
I 12.439 8.364 0.763
I 8.364 6.863 2.289
```

10.
Entry from the Alexandria database: CaSmZnIr after structural relaxation (PBE).

Space-group type = Amm2 (38)
V = 23.86 Å³ per atom
Formation energy = -0.478 eV per atom
Total moment = 0.00 μB per cell

```
4
Lattice="-0.016 -1.511 -3.803 3.967 1.168 -0.481 1.708 -4.208 3.866" Properties=species:S:1:pos:R:3 pbc="T T T"
Ir 2.229 -0.909 -1.850
Sm 0.465 -1.359 0.538
Ca 3.180 -3.688 -0.750
Zn 1.477 -4.312 1.707
```

11.
Entry from the Alexandria database: LiTl2ReH after structural relaxation (PBE).

Space-group type = P4/mmm (123)
V = 22.36 Å³ per atom
E = -2.98 eV/atom
Total moment = 3.08 μB per cell

```
5
Lattice="4.979 0.000 0.000 0.000 4.508 0.000 0.000 0.000 4.979" Properties=species:S:1:pos:R:3 pbc="T T T"
Tl 0.000 0.000 2.490
Tl 2.490 0.000 0.000
Re 0.000 2.254 0.000
Li 0.000 0.000 0.000
H 2.490 2.254 2.490
```

12.
Entry from the Alexandria database: InAg2Pb after structural relaxation (PBE).

Space-group type = P2/m (10)
V = 22.96 Å³ per atom
Formation energy = 0.072 eV per atom
Total moment = 0.00 μB per cell

```
4
Lattice="-1.525 3.842 0.093 -1.527 -0.675 2.829 3.963 1.423 6.174" Properties=species:S:1:pos:R:3 pbc="T T T"
In -0.154 2.108 2.297
Ag 1.087 0.325 4.413
Ag -1.397 -0.625 2.918
Pb 1.064 2.483 6.799
```

13.
Entry from the Alexandria database: BaBi3Pd3 after structural relaxation (PBE).

Space-group type = R-3 (148)
V = 29.37 Å³ per atom
Formation energy = -0.310 eV per atom
Total moment = 0.00 μB per cell

```
14
Lattice="7.838 0.000 0.000 3.919 6.788 0.000 3.919 2.263 7.730" Properties=species:S:1:pos:R:3 pbc="T T T"
Bi 9.567 2.066 5.533
Bi 4.844 4.258 5.533
Bi 6.572 1.798 2.197
Bi 10.832 4.793 2.197
Bi 6.109 6.984 2.197
Bi 9.103 7.252 5.533
Pd 6.872 2.499 4.849
Pd 8.803 6.551 2.881
Pd 10.076 4.702 4.849
Pd 5.600 4.348 2.881
Pd 6.566 6.374 4.849
Pd 9.110 2.676 2.881
Ba 7.838 4.525 0.137
Ba 7.838 4.525 7.593
```

14.
Entry from the Alexandria database: TaNClF2 after structural relaxation (PBE).

Space-group type = P4/mmm (123)
V = 13.67 Å³ per atom
Total moment = 0.00 μB per cell
Formation energy from raw total energies = -1.297 eV/atom

```
5
Lattice="-2.206 1.293 -3.229 -2.455 -3.288 0.360 -2.410 2.071 2.476" Properties=species:S:1:pos:R:3 pbc="T T T"
F -1.227 -1.644 0.180
F -1.103 0.647 -1.615
N -1.205 1.035 1.238
Ta 0.000 0.000 0.000
Cl -3.536 0.038 -0.197
```

15.
Entry from the Alexandria database: Ta2FeTe after structural relaxation (PBE).

Space-group type = I-42d (122)
V = 24.62 Å³ per atom
Total moment = 0.00 μB per cell
Formation energy from raw total energies = 0.936 eV/atom

```
8
Lattice="-2.707 -3.671 -3.216 4.509 -0.474 -3.255 3.017 -6.804 0.385" Properties=species:S:1:pos:R:3 pbc="T T T"
Fe 0.901 -2.073 -3.235
Fe 4.213 -4.676 -3.052
Te 0.000 0.000 0.000
Te 0.605 -6.274 -3.033
Ta 3.306 -6.696 -2.403
Ta 3.471 -8.692 -5.107
Ta -0.153 -3.755 -2.058
Ta 3.013 -2.756 -2.602
```

16.
Entry from the Alexandria database: ZnCrCo6 after structural relaxation (PBE).

Space-group type = Cmmm (65)
V = 11.19 Å³ per atom
Formation energy = 0.038 eV per atom
Total moment = 22.38 μB per cell

```
32
Lattice="-2.377 -3.388 4.544 6.090 0.405 0.729 -1.215 8.288 5.544" Properties=species:S:1:pos:R:3 pbc="T T T"
Cr 3.697 1.542 3.056
Cr -1.212 8.266 5.530
Cr -0.611 4.166 2.786
Cr -0.592 -0.380 4.989
Co 1.208 4.891 4.283
Co -0.911 6.216 4.158
Co 0.898 7.004 5.696
Co 1.553 0.581 4.022
Co 3.715 -0.706 4.197
Co 0.681 4.558 9.306
Co 0.991 2.445 7.892
Co -0.610 1.867 3.848
Co 3.419 1.319 5.551
Co 1.835 0.805 1.526
Co 1.270 0.356 6.519
Co 1.538 2.829 2.880
Co -0.887 1.653 6.346
Co 3.396 3.572 4.416
Co 2.776 5.496 8.362
Co -0.304 2.072 1.386
Co -0.314 -0.157 2.494
Co 3.085 3.383 6.949
Co -1.196 6.066 6.640
Co 1.567 -1.668 5.165
Co 0.945 4.725 6.794
Co -0.291 -2.410 3.628
Co 3.992 -0.491 1.699
Co -0.886 3.953 5.226
Zn -1.170 3.777 7.747
Zn 3.059 5.672 5.842
Zn 1.854 -1.475 2.647
Zn 1.251 2.636 5.398
```

17.
Entry from the Alexandria database: TaTi2Al2 after structural relaxation (PBE).

Space-group type = Imma (74)
V = 18.43 Å³ per atom
Formation energy = 0.062 eV per atom
Total moment = 0.00 μB per cell

```
10
Lattice="6.881 -0.076 0.639 -1.504 6.715 0.639 -1.978 -2.443 3.529" Properties=species:S:1:pos:R:3 pbc="T T T"
Al 2.552 0.396 3.285
Al 0.846 3.800 1.521
Al 4.677 0.698 1.521
Al -1.278 3.498 3.285
Ta 4.877 -1.487 3.285
Ta -1.478 5.683 1.521
Ti 3.415 2.976 2.390
Ti 1.212 2.737 4.155
Ti -0.016 1.221 2.416
Ti 2.187 1.459 0.652
```

18.
Entry from the Alexandria database: CaScNiPd after structural relaxation (PBE).

Space-group type = F-43m (216)
V = 18.82 Å³ per atom
Formation energy = -0.435 eV per atom
Total moment = 0.00 μB per cell

```
4
Lattice="-3.122 1.214 3.353 -4.647 -0.149 -0.923 -2.713 -3.317 2.025" Properties=species:S:1:pos:R:3 pbc="T T T"
Ni -2.620 -0.563 1.114
Ca 0.000 0.000 0.000
Pd -7.861 -1.689 3.342
Sc -5.241 -1.126 2.228
```

19.
Entry from the Alexandria database: ErB4Rh4 after structural relaxation (PBE).

Space-group type = I4_1/acd (142)
V = 11.74 Å³ per atom
Formation energy = -0.584 eV per atom
Total moment = 0.00 μB per cell

```
36
Lattice="-5.872 -6.757 -1.915 1.865 -3.252 -8.351 5.375 1.470 7.262" Properties=species:S:1:pos:R:3 pbc="T T T"
Rh -3.172 -6.246 -4.842
Rh -0.696 -5.251 -4.027
Rh 6.329 -1.482 0.350
Rh -4.450 -5.780 -2.046
Rh 3.787 -2.151 -3.402
Rh -0.339 -5.445 -1.333
Rh -2.672 -6.122 0.238
Rh -0.233 -5.523 1.454
Rh 1.312 -3.146 -4.217
Rh -1.756 -3.492 0.068
Rh 1.960 -3.359 -1.512
Rh 3.415 -4.915 -3.314
Rh 4.030 -3.568 0.530
Rh 0.352 -8.160 -4.352
Rh 2.576 -2.012 2.332
Rh 0.506 -1.654 0.039
B 0.780 -6.568 -2.923
B 5.608 -3.031 -1.006
B -2.761 -4.838 -3.228
B 1.877 -3.320 0.732
B -0.360 -8.003 -6.476
B -2.496 -4.819 -1.497
B 3.377 -3.559 -5.017
B 0.383 -3.896 0.024
B 4.788 -2.057 1.909
B 5.211 -0.359 1.941
B -1.166 -6.862 -5.422
B 1.203 -4.870 -2.891
B 1.781 -1.536 -2.823
B -4.897 -7.151 -3.684
B 4.114 -3.607 -1.714
B 1.247 -0.327 1.604
Er -3.005 -7.506 -7.700
Er 3.620 -0.891 -0.545
Er -0.248 -2.643 2.674
Er -1.002 -2.502 -2.567
```

20.
Entry from the Alexandria database: NaCdIn3 after structural relaxation (PBE).

Space-group type = Pm-3m (221)
V = 34.45 Å³ per atom
Formation energy = 0.494 eV per atom
Total moment = 0.00 μB per cell

```
5
Lattice="-3.219 4.153 1.830 -4.491 -2.592 -2.018 -0.653 -2.645 4.852" Properties=species:S:1:pos:R:3 pbc="T T T"
In -2.246 -1.296 -1.009
In -0.327 -1.322 2.426
In -1.609 2.076 0.915
Cd -4.182 -0.542 2.332
Na 0.000 0.000 0.000
```